Entry 1:
Compound: Tc3Mo5
Source: the Alexandria database
Functional: meta-GGA SCAN
Structure: single point on PBEsol structure

Properties
ΔH_f (0 K): 0.9 kcal/mol of atoms
density of states at the Fermi level: 0.980 states/eV per atom
M_tot: 0.00 μB/cell

Cell lengths 4.3766, 5.3577, 5.3577 Å; angles 109.31, 90.00, 90.00 degrees
With the nearest neighbours (Å) after each atom.
Fractional coordinates of all 8 atoms:
1 Mo 0.0000 0.0000 0.0000  8 Mo 2.67-2.68
2 Mo 0.0000 0.5000 0.0000  2 Mo 2.68, 6 Tc 2.68
3 Mo 0.0000 0.0000 0.5000  6 Tc 2.68, 2 Mo 2.68
4 Mo 0.5000 0.7533 0.7533  6 Tc 2.66-2.70, 2 Mo 2.67
5 Mo 0.5000 0.2467 0.2467  6 Tc 2.66-2.70, 2 Mo 2.67
6 Tc 0.0000 0.5000 0.5000  8 Mo 2.68-2.69
7 Tc 0.5000 0.7459 0.2541  8 Mo 2.66-2.70
8 Tc 0.5000 0.2541 0.7459  8 Mo 2.66-2.70

---

Entry 2:
Compound: Mg2ZnNi
Source: the Alexandria database
Functional: meta-GGA SCAN
Structure: single point on PBEsol structure

Properties
ΔH_f (0 K): -3.9 kcal/mol of atoms
density of states at the Fermi level: 0.422 states/eV per atom
M_tot: 0.00 μB/cell

Cell lengths 3.0819, 4.4192, 5.2727 Å; angles 115.04, 106.99, 90.00 degrees
With the nearest neighbours (Å) after each atom.
Fractional coordinates of all 4 atoms:
1 Ni 0.5143 0.5150 0.0286  2 Zn 2.41, 2 Mg 2.64
2 Zn 0.2185 0.7179 0.4369  2 Ni 2.41
3 Mg 0.9903 0.9909 0.9807  4 Ni 2.70, 3 Zn 2.90-3.01, 4 Mg 2.93-3.02
4 Mg 0.7769 0.2763 0.5538  2 Ni 2.64, 4 Zn 2.74-2.75, 2 Mg 2.93-2.94

---

Entry 3:
Compound: Fe2SbRh
Source: the Alexandria database
Functional: meta-GGA SCAN
Structure: single point on PBEsol structure

Properties
raw formation energy: -0.103 eV per atom
density of states at the Fermi level: 0.811 states/eV per atom
M_tot: 5.88 μB/cell

Cell lengths 3.7212, 3.7214, 4.8342 Å; angles 112.69, 112.64, 90.00 degrees
With the nearest neighbours (Å) after each atom.
Fractional coordinates of all 4 atoms:
1 Fe 0.7500 0.7500 0.5000  4 Fe 2.63, 4 Sb 2.75, 4 Rh 2.75
2 Fe 0.2500 0.2500 0.5000  4 Fe 2.63, 4 Sb 2.75, 4 Rh 2.75
3 Rh 0.5000 0.0000 0.0000  4 Sb 2.63, 8 Fe 2.75
4 Sb 0.0000 0.5000 0.0000  4 Rh 2.63, 8 Fe 2.75